(1)
VASP calculation (GGA-PBE) on a geometry-optimized ReIr2Br structure.

Cell lengths 2.840, 2.840, 8.282 Å; angles 90.00, 90.00, 90.00 degrees
Space group P4/mmm (No. 123)
Unique sites:
Re: 0.000 0.000 0.000 (multiplicity 1)
Ir: 0.500 0.500 0.214 (multiplicity 2)
Br: 0.000 0.000 0.500 (multiplicity 1)

Output
ΔE to the lowest computed polymorph = 15.8 meV/atom
DOS at the Fermi energy = 0.782 states/eV/atom
formation energy from raw total energies = 0.47 eV/atom

---

(2)
VASP calculation (GGA-PBE) on a geometry-optimized ReIr2Br structure.

Cell lengths 2.8721, 2.8721, 26.6092 Å; angles 90.00, 90.00, 120.00 degrees
Space group R3m (No. 160, hexagonal axes)
Unique sites:
Re: 0.0000 0.0000 0.0000 (multiplicity 3)
Ir: 0.0000 0.0000 0.4952 (multiplicity 3)
Ir: 0.0000 0.0000 0.7451 (multiplicity 3)
Br: 0.0000 0.0000 0.2534 (multiplicity 3)

Output
ΔE to the lowest computed polymorph = 200.4 meV/atom
DOS at the Fermi energy = 1.082 states/eV/atom
formation energy from raw total energies = 0.65 eV/atom

---

(3)
VASP calculation (GGA-PBE) on a geometry-optimized ReIr2Br structure.

Cell lengths 6.301, 6.301, 8.980 Å; angles 90.00, 90.00, 90.00 degrees
Space group I-42d (No. 122)
Unique sites:
Re: 0.000 0.000 0.000 (multiplicity 4)
Ir: 0.220 0.250 0.125 (multiplicity 8)
Br: 0.000 0.000 0.500 (multiplicity 4)

Output
ΔE to the lowest computed polymorph = 493.8 meV/atom
DOS at the Fermi energy = 0.418 states/eV/atom
formation energy from raw total energies = 0.95 eV/atom

---

(4)
VASP calculation (GGA-PBE) on a geometry-optimized ReIr2Br structure.

Cell lengths 2.8258, 2.8258, 29.1530 Å; angles 90.00, 90.00, 120.00 degrees
Space group R-3m (No. 166, hexagonal axes)
Unique sites:
Re: 0.0000 0.0000 0.0000 (multiplicity 3)
Ir: 0.0000 0.0000 0.2614 (multiplicity 6)
Br: 0.0000 0.0000 0.5000 (multiplicity 3)

Output
ΔE to the lowest computed polymorph = 0.0 meV/atom
DOS at the Fermi energy = 1.051 states/eV/atom
formation energy from raw total energies = 0.45 eV/atom

---

(5)
VASP calculation (GGA-PBE) on a geometry-optimized ReIr2Br structure.

Cell lengths 4.078, 4.078, 7.617 Å; angles 90.00, 90.00, 90.00 degrees
Space group I4/mmm (No. 139)
Unique sites:
Re: 0.000 0.000 0.000 (multiplicity 2)
Ir: 0.000 0.500 0.250 (multiplicity 4)
Br: 0.000 0.000 0.500 (multiplicity 2)

Output
ΔE to the lowest computed polymorph = 658.4 meV/atom
DOS at the Fermi energy = 0.723 states/eV/atom
formation energy from raw total energies = 1.11 eV/atom

---

(6)
VASP calculation (GGA-PBE) on a geometry-optimized ReIr2Br structure.

Cell lengths 4.820, 4.820, 2.765 Å; angles 90.00, 90.00, 90.00 degrees
Space group P4/mmm (No. 123)
Unique sites:
Re: 0.000 0.000 0.000 (multiplicity 1)
Ir: 0.000 0.500 0.500 (multiplicity 2)
Br: 0.500 0.500 0.000 (multiplicity 1)

Output
ΔE to the lowest computed polymorph = 620.2 meV/atom
DOS at the Fermi energy = 0.843 states/eV/atom
formation energy from raw total energies = 1.07 eV/atom

---

(7)
VASP calculation (GGA-PBE) on a geometry-optimized ReIr4Br structure.

Cell lengths 7.360, 7.360, 7.360 Å; angles 90.00, 90.00, 90.00 degrees
Space group F-43m (No. 216)
Unique sites:
Re: 0.000 0.000 0.000 (multiplicity 4)
Ir: 0.125 0.125 0.625 (multiplicity 16)
Br: 0.250 0.250 0.250 (multiplicity 4)

Output
DOS at the Fermi energy = 1.341 states/eV/atom
formation energy from raw total energies = 1.15 eV/atom

---

(8)
VASP calculation (GGA-PBE) on a geometry-optimized ReIr2Br structure.

Cell lengths 2.783, 4.550, 5.162 Å; angles 90.00, 90.00, 90.00 degrees
Space group Pmm2 (No. 25)
Unique sites:
Re: 0.000 0.000 0.000 (multiplicity 1)
Ir: 0.500 0.000 0.453 (multiplicity 1)
Ir: 0.500 0.500 0.129 (multiplicity 1)
Br: 0.500 0.500 0.645 (multiplicity 1)

Output
ΔE to the lowest computed polymorph = 356.7 meV/atom
DOS at the Fermi energy = 0.974 states/eV/atom
formation energy from raw total energies = 0.81 eV/atom

---

(9)
VASP calculation (GGA-PBE) on a geometry-optimized ReIr3Br structure.

Cell lengths 4.567, 4.567, 4.567 Å; angles 90.00, 90.00, 90.00 degrees
Space group Pm-3m (No. 221)
Unique sites:
Re: 0.000 0.000 0.000 (multiplicity 1)
Ir: 0.000 0.500 0.500 (multiplicity 3)
Br: 0.500 0.500 0.500 (multiplicity 1)

Output
ΔE to the lowest computed polymorph = 522.8 meV/atom
DOS at the Fermi energy = 1.052 states/eV/atom
formation energy from raw total energies = 2.38 eV/atom

---

(10)
VASP calculation (GGA-PBE) on a geometry-optimized ReIrSeBr2 structure.

Cell lengths 5.095, 5.095, 4.909 Å; angles 90.00, 90.00, 90.00 degrees
Space group P4/mmm (No. 123)
Unique sites:
Re: 0.000 0.000 0.000 (multiplicity 1)
Ir: 0.500 0.500 0.500 (multiplicity 1)
Se: 0.500 0.500 0.000 (multiplicity 1)
Br: 0.000 0.500 0.500 (multiplicity 2)

Output
ΔE to the lowest computed polymorph = 0.0 meV/atom
DOS at the Fermi energy = 0.547 states/eV/atom
formation energy from raw total energies = 1.35 eV/atom

---

(11)
VASP calculation (GGA-PBE) on a geometry-optimized ReTeIr2Br structure.

Cell lengths 4.878, 4.878, 5.415 Å; angles 90.00, 90.00, 90.00 degrees
Space group P4/mmm (No. 123)
Unique sites:
Re: 0.000 0.000 0.000 (multiplicity 1)
Te: 0.500 0.500 0.500 (multiplicity 1)
Ir: 0.000 0.500 0.500 (multiplicity 2)
Br: 0.500 0.500 0.000 (multiplicity 1)

Output
DOS at the Fermi energy = 0.902 states/eV/atom
formation energy from raw total energies = 2.22 eV/atom

---

(12)
VASP calculation (GGA-PBE) on a geometry-optimized ReIrWBr2 structure.

Cell lengths 4.798, 4.798, 5.047 Å; angles 90.00, 90.00, 90.00 degrees
Space group P4/mmm (No. 123)
Unique sites:
Re: 0.000 0.000 0.000 (multiplicity 1)
Ir: 0.500 0.500 0.000 (multiplicity 1)
W: 0.000 0.000 0.500 (multiplicity 1)
Br: 0.000 0.500 0.500 (multiplicity 2)

Output
DOS at the Fermi energy = 1.449 states/eV/atom
formation energy from raw total energies = 2.14 eV/atom